Record 1
First-principles (SCAN) data for a PBEsol-optimized structure of YSiS2, as listed in the Alexandria database.

```
YSiS2
1.0
3.775 0.000 0.000
-1.888 3.269 0.000
0.000 0.000 23.757
Y Si S
3 3 6
Direct
0.000 0.000 0.000
0.333 0.667 0.667
0.667 0.333 0.333
0.000 0.000 0.500
0.333 0.667 0.167
0.667 0.333 0.833
0.000 0.000 0.399
0.000 0.000 0.601
0.333 0.667 0.065
0.333 0.667 0.268
0.667 0.333 0.732
0.667 0.333 0.935
```

The calculation puts the density of states at the Fermi level at 2.6 states/eV/cell. As for the symmetry: R-3m. For the energy, the calculation gives -15.266 eV per atom.

---

Record 2
First-principles (SCAN) data for a PBEsol-optimized structure of Y6ZnSi2S14, as listed in the Alexandria database.

```
Y6ZnSi2S14
1.0
9.736 0.000 0.000
-4.868 8.432 0.000
0.000 0.000 5.572
Y Zn Si S
6 1 2 14
Direct
0.023 0.462 0.000
0.310 0.204 0.503
0.438 0.977 0.000
0.538 0.562 0.000
0.796 0.105 0.503
0.895 0.690 0.503
0.667 0.333 0.239
0.000 0.000 0.090
0.333 0.667 0.583
0.000 0.000 0.714
0.084 0.230 0.240
0.147 0.916 0.240
0.187 0.750 0.735
0.250 0.437 0.735
0.333 0.667 0.207
0.415 0.243 0.987
0.508 0.083 0.470
0.563 0.813 0.735
0.574 0.492 0.470
0.757 0.172 0.987
0.770 0.853 0.240
0.828 0.585 0.987
0.917 0.426 0.470
```

The calculation puts the density of states at the Fermi level at 0.0 states/eV/cell. As for the symmetry: P3. For the energy, the calculation gives -16.430 eV per atom.

---

| no. | formation energy from raw total energies (meV per atom) | M_tot (μB per cell) |
| --- | --- | --- |
| 1 | -987 | 0.00 |
| 2 | -1847 | 0.00 |